Record 1
Dy8Ho2Er3 | GGA-PBE | optimized geometry

Output
Crystal system: monoclinic

```
data_Dy8Ho2Er3
_space_group_name_H-M_alt 'C 1 2/m 1'
_space_group_IT_number 12
_space_group_name_Hall '-C 2y'
_cell_length_a 20.0706
_cell_length_b 7.5598
_cell_length_c 5.5612
_cell_angle_alpha 90.00
_cell_angle_beta 90.02
_cell_angle_gamma 90.00
loop_
_atom_site_label
_atom_site_type_symbol
_atom_site_fract_x
_atom_site_fract_y
_atom_site_fract_z
Dy1 Dy 0.1077 0.2110 0.0002
Dy2 Dy 0.1325 0.5000 0.4997
Dy3 Dy 0.1675 0.0000 0.5006
Ho1 Ho 0.2412 0.5000 0.9992
Er1 Er 0.0000 0.2153 0.5000
Er2 Er 0.0000 0.5000 0.0000
```

***

Record 2
DyHo5Er8 | GGA-PBE | optimized geometry

Output
Crystal system: tetragonal

```
data_DyHo5Er8
_space_group_name_H-M_alt 'I -4'
_space_group_IT_number 82
_space_group_name_Hall 'I -4'
_cell_length_a 9.4410
_cell_length_b 9.4410
_cell_length_c 9.9688
_cell_angle_alpha 90.00
_cell_angle_beta 90.00
_cell_angle_gamma 90.00
loop_
_atom_site_label
_atom_site_type_symbol
_atom_site_fract_x
_atom_site_fract_y
_atom_site_fract_z
Dy1 Dy 0.0000 0.0000 0.0000
Ho1 Ho 0.0000 0.5000 0.2500
Ho2 Ho 0.1118 0.7109 0.6738
Er1 Er 0.0705 0.8241 0.3451
Er2 Er 0.0892 0.6727 0.0020
```

***

Record 3
Dy16Ho7Er6 | GGA-PBE | optimized geometry

Output
Crystal system: cubic

```
data_Dy16Ho7Er6
_space_group_name_H-M_alt 'F m -3 m'
_space_group_IT_number 225
_space_group_name_Hall '-F 4 2 3'
_cell_length_a 15.5845
_cell_length_b 15.5845
_cell_length_c 15.5845
_cell_angle_alpha 90.00
_cell_angle_beta 90.00
_cell_angle_gamma 90.00
loop_
_atom_site_label
_atom_site_type_symbol
_atom_site_fract_x
_atom_site_fract_y
_atom_site_fract_z
Dy1 Dy 0.1229 0.1229 0.1229
Dy2 Dy 0.1513 0.1513 0.3487
Ho1 Ho 0.0000 0.0000 0.0000
Ho2 Ho 0.0000 0.2500 0.2500
Er1 Er 0.0000 0.0000 0.2756
```

***

Record 4
Dy2Ho3Er7 | GGA-PBE | optimized geometry

Output
Crystal system: monoclinic

```
data_Dy2Ho3Er7
_space_group_name_H-M_alt 'P 1 2/m 1'
_space_group_IT_number 10
_space_group_name_Hall '-P 2y'
_cell_length_a 6.1059
_cell_length_b 5.4595
_cell_length_c 11.8772
_cell_angle_alpha 90.00
_cell_angle_beta 92.53
_cell_angle_gamma 90.00
loop_
_atom_site_label
_atom_site_type_symbol
_atom_site_fract_x
_atom_site_fract_y
_atom_site_fract_z
Dy1 Dy 0.1110 0.0000 0.2808
Ho1 Ho 0.0000 0.0000 0.0000
Ho2 Ho 0.4520 0.5000 0.3355
Er1 Er 0.0619 0.5000 0.8219
Er2 Er 0.2669 0.0000 0.5490
Er3 Er 0.4129 0.0000 0.8348
Er4 Er 0.5000 0.5000 0.0000
```

***

Number 1: D(E_F) 1.6306 states/eV per atom, magnetic moment 0.00 μB/f.u., ΔE_f 233 meV per atom. Number 2: D(E_F) 1.4722 states/eV per atom, magnetic moment 0.00 μB/f.u., ΔE_f 257 meV per atom. Number 3: D(E_F) 1.7577 states/eV per atom, magnetic moment 0.00 μB/f.u., ΔE_f 243 meV per atom. Number 4: D(E_F) 1.5590 states/eV per atom, magnetic moment 0.00 μB/f.u., ΔE_f 323 meV per atom.